# 1
Crystalline Sr2ZnHgAu at its relaxed geometry, computed with GGA-PBE.

Unit cell a=6.193 b=5.180 c=6.193 alpha=90.00 beta=90.00 gamma=90.00
Sites, in units of the cell vectors:
Sr  0.500  0.000  0.000
Zn  0.500  0.500  0.500
Sr  0.000  0.000  0.500
Au  0.000  0.500  0.000
Hg  0.000  0.000  0.000

Output
The value obtained for the energy relative to the elements is 4.2 meV/atom. Its density of states at the Fermi level is 0.50 states/eV/atom. Its calculated volume is 39.73 Å³ per atom.



# 2
Crystalline SrZnHg2Au at its relaxed geometry, computed with GGA-PBE.

Unit cell a=5.157 b=5.157 c=5.063 alpha=90.00 beta=90.00 gamma=90.00
Sites, in units of the cell vectors:
Sr  0.500  0.500  0.500
Hg  0.500  0.000  0.000
Au  0.000  0.000  0.500
Zn  0.000  0.000  0.000
Hg  0.000  0.500  0.000

Output
The value obtained for the energy relative to the elements is -231.7 meV/atom. Its density of states at the Fermi level is 0.53 states/eV/atom. Its calculated volume is 26.93 Å³ per atom.



# 3
Crystalline Sr2Zn4HgAu3 at its relaxed geometry, computed with GGA-PBE.

Unit cell a=4.501 b=4.501 c=11.097 alpha=90.00 beta=90.00 gamma=90.00
Sites, in units of the cell vectors:
Au  0.500  0.000  0.871
Au  0.000  0.000  0.500
Hg  0.500  0.500  0.500
Zn  0.500  0.000  0.638
Sr  0.000  0.500  0.756
Zn  0.000  0.500  0.362
Zn  0.000  0.000  0.000
Zn  0.500  0.500  0.000
Sr  0.500  0.000  0.244
Au  0.000  0.500  0.129

Output
The value obtained for the energy relative to the elements is -451.6 meV/atom. Its density of states at the Fermi level is 0.52 states/eV/atom. Its calculated volume is 22.48 Å³ per atom.



# 4
Crystalline SrZrHg2Au at its relaxed geometry, computed with GGA-PBE.

Unit cell a=5.841 b=6.187 c=5.841 alpha=90.00 beta=90.00 gamma=90.00
Last column: magnetic moment on the atom in μB.
Sites, in units of the cell vectors:
Sr  0.000  0.000  0.000  0.14
Hg  0.000  0.000  0.500  0.02
Hg  0.500  0.000  0.000  0.02
Zr  0.000  0.500  0.000  1.48
Au  0.500  0.500  0.500  -0.01

Output
The value obtained for the energy relative to the elements is 1225.7 meV/atom. Its density of states at the Fermi level is 1.18 states/eV/atom. Its calculated volume is 42.22 Å³ per atom.



# 5
Crystalline Sr2ZrHgAu at its relaxed geometry, computed with GGA-PBE.

Unit cell a=6.064 b=5.185 c=6.064 alpha=90.00 beta=90.00 gamma=90.00
Last column: magnetic moment on the atom in μB.
Sites, in units of the cell vectors:
Au  0.000  0.500  0.000  0.00
Zr  0.500  0.500  0.500  1.52
Sr  0.500  0.000  0.000  0.04
Hg  0.000  0.000  0.000  -0.01
Sr  0.000  0.000  0.500  0.05

Output
The value obtained for the energy relative to the elements is 535.2 meV/atom. Its density of states at the Fermi level is 1.39 states/eV/atom. Its calculated volume is 38.13 Å³ per atom.



# 6
Crystalline TaHgAu2 at its relaxed geometry, computed with GGA-PBE.

Unit cell a=9.915 b=9.915 c=9.915 alpha=17.45 beta=17.45 gamma=17.45
Sites, in units of the cell vectors:
Au  0.495  0.495  0.495
Au  0.005  0.005  0.005
Hg  0.250  0.250  0.250
Ta  0.750  0.750  0.750

Output
The value obtained for the energy relative to the elements is 48.8 meV/atom. Its density of states at the Fermi level is 0.33 states/eV/atom. Its calculated volume is 19.13 Å³ per atom.



# 7
Crystalline TaHgAu4 at its relaxed geometry, computed with GGA-PBE.

Unit cell a=5.479 b=5.479 c=5.479 alpha=60.00 beta=60.00 gamma=60.00
Last column: magnetic moment on the atom in μB.
Sites, in units of the cell vectors:
Au  0.876  0.375  0.375  0.01
Au  0.375  0.375  0.876  0.01
Au  0.375  0.375  0.375  0.01
Au  0.375  0.876  0.375  0.01
Ta  0.000  0.000  0.000  0.59
Hg  0.750  0.750  0.750  -0.01

Output
The value obtained for the energy relative to the elements is 435.4 meV/atom. Its density of states at the Fermi level is 1.00 states/eV/atom. Its calculated volume is 19.38 Å³ per atom.



# 8
Crystalline TaHgAu at its relaxed geometry, computed with GGA-PBE.

Unit cell a=3.045 b=3.045 c=21.529 alpha=90.00 beta=90.00 gamma=120.00
Sites, in units of the cell vectors:
Au  0.667  0.333  0.138
Ta  0.000  0.000  0.574
Au  0.000  0.000  0.804
Hg  0.000  0.000  0.022
Au  0.333  0.667  0.471
Ta  0.333  0.667  0.241
Hg  0.333  0.667  0.688
Hg  0.667  0.333  0.355
Ta  0.667  0.333  0.908

Output
The value obtained for the energy relative to the elements is 190.6 meV/atom. Its density of states at the Fermi level is 0.47 states/eV/atom. Its calculated volume is 19.21 Å³ per atom.